No. 1
{
  "formula": "ZnNiIrAu",
  "functional": "GGA-PBE",
  "state": "optimized geometry",
  "lattice_angstrom": [[-3.1641, -0.7091, 2.8597], [0.8667, -2.0088, 3.7290], [-0.0897, 2.2075, 3.7163]],
  "species": ["Ni", "Zn", "Au", "Ir"],
  "fractional_positions": [[0.2500, 0.2500, 0.2500], [0.7500, 0.7500, 0.7500], [0.5000, 0.5000, 0.5000], [0.0000, 0.0000, 0.0000]],
  "crystal_system": "cubic",
  "vol_a3_per_fu": 57,
  "ef_ev_per_atom": 0.06
}

=====

No. 2
{
  "formula": "NpIrAu",
  "functional": "GGA-PBE",
  "state": "optimized geometry",
  "lattice_angstrom": [[3.9548, 0.0000, 0.0000], [0.0000, 3.9547, 0.0000], [0.0000, 0.0000, 15.2473]],
  "species": ["Np", "Au", "Ir", "Ir", "Au", "Np", "Np", "Au", "Au", "Ir", "Ir", "Np"],
  "fractional_positions": [[0.7498, 0.2500, 0.6712], [0.7500, 0.7500, 0.5000], [0.7498, 0.2500, 0.8549], [0.7502, 0.2500, 0.3549], [0.7500, 0.7500, 0.0000], [0.7502, 0.2500, 0.1712], [0.2498, 0.7500, 0.8288], [0.2500, 0.2500, 0.0000], [0.2500, 0.2500, 0.5000], [0.2498, 0.7500, 0.6451], [0.2502, 0.7500, 0.1451], [0.2502, 0.7500, 0.3288]],
  "crystal_system": "tetragonal",
  "vol_a3_per_fu": 60,
  "de_polymorph_mev_per_atom": 0,
  "ef_ev_per_atom": -0.27
}

=====

No. 3
{
  "formula": "NpIrAu",
  "functional": "GGA-PBE",
  "state": "optimized geometry",
  "lattice_angstrom": [[-1.1416, 3.1648, 0.0494], [-2.4374, -0.9125, 2.1327], [4.9628, -0.0454, 2.9981]],
  "species": ["Au", "Np", "Ir"],
  "fractional_positions": [[0.9890, 0.9890, 0.9780], [0.6868, 0.6868, 0.3736], [0.3242, 0.3242, 0.6484]],
  "crystal_system": "tetragonal",
  "vol_a3_per_fu": 60,
  "de_polymorph_mev_per_atom": 193,
  "ef_ev_per_atom": -0.07
}

=====

No. 4
{
  "formula": "NpIr2Au",
  "functional": "GGA-PBE",
  "state": "optimized geometry",
  "lattice_angstrom": [[-1.7998, 3.3466, 0.8842], [-2.6454, -0.5558, -3.2809], [-2.6883, -2.1131, 2.5256]],
  "species": ["Ir", "Au", "Np", "Ir"],
  "fractional_positions": [[0.0000, 0.0000, 0.5000], [0.5000, 0.5000, 0.5000], [0.5000, 0.0000, 0.0000], [0.0000, 0.5000, 0.0000]],
  "crystal_system": "tetragonal",
  "vol_a3_per_fu": 71,
  "ef_ev_per_atom": -0.19
}

=====

No. 5
{
  "formula": "NpIr4Au",
  "functional": "GGA-PBE",
  "state": "optimized geometry",
  "lattice_angstrom": [[-1.2789, 2.1817, 4.6255], [-2.5701, -2.8313, 3.6289], [2.4751, -1.5126, 4.4018]],
  "species": ["Ir", "Ir", "Ir", "Au", "Ir", "Np"],
  "fractional_positions": [[0.1240, 0.6253, 0.6253], [0.6253, 0.6253, 0.1240], [0.6253, 0.1240, 0.6253], [0.0000, 0.0000, 0.0000], [0.6253, 0.6253, 0.6253], [0.2500, 0.2500, 0.2500]],
  "crystal_system": "cubic",
  "vol_a3_per_fu": 104,
  "ef_ev_per_atom": -0.14
}

=====

No. 6
{
  "formula": "NpIrAuO6",
  "functional": "GGA-PBE",
  "state": "optimized geometry",
  "lattice_angstrom": [[5.3062, 0.0000, 0.0000], [-2.6531, 4.5953, 0.0000], [0.0000, 0.0000, 9.8482]],
  "species": ["Np", "O", "O", "O", "O", "Au", "O", "Np", "O", "O", "O", "O", "Ir", "Au", "O", "Ir", "O", "O"],
  "fractional_positions": [[0.6667, 0.3333, 0.2500], [0.9892, 0.6415, 0.8646], [0.0108, 0.3585, 0.1354], [0.0108, 0.6523, 0.3646], [0.3477, 0.3585, 0.3646], [0.0000, 0.0000, 0.5000], [0.6415, 0.6523, 0.1354], [0.3333, 0.6667, 0.7500], [0.9892, 0.3477, 0.6354], [0.3477, 0.9892, 0.1354], [0.3585, 0.0108, 0.6354], [0.6523, 0.0108, 0.8646], [0.6667, 0.3333, 0.7500], [0.0000, 0.0000, 0.0000], [0.3585, 0.3477, 0.8646], [0.3333, 0.6667, 0.2500], [0.6415, 0.9892, 0.3646], [0.6523, 0.6415, 0.6354]],
  "crystal_system": "trigonal",
  "vol_a3_per_fu": 120,
  "raw_formation_energy_mev_per_atom": -1350
}

=====

No. 7
{
  "formula": "PmNpIrAu",
  "functional": "GGA-PBE",
  "state": "optimized geometry",
  "lattice_angstrom": [[5.0347, 0.0000, 0.0000], [2.5173, 4.3602, 0.0000], [2.5173, 1.4534, 4.1108]],
  "species": ["Pm", "Np", "Ir", "Au"],
  "fractional_positions": [[0.2500, 0.2500, 0.2500], [0.7500, 0.7500, 0.7500], [0.0000, 0.0000, 0.0000], [0.5000, 0.5000, 0.5000]],
  "crystal_system": "cubic",
  "vol_a3_per_fu": 90,
  "ef_ev_per_atom": -0.33
}

=====

No. 8
{
  "formula": "SmNpIrAu",
  "functional": "GGA-PBE",
  "state": "optimized geometry",
  "lattice_angstrom": [[5.0222, 0.0000, 0.0000], [2.5111, 4.3493, 0.0000], [2.5111, 1.4498, 4.1006]],
  "species": ["Np", "Ir", "Sm", "Au"],
  "fractional_positions": [[0.7500, 0.7500, 0.7500], [0.5000, 0.5000, 0.5000], [0.2500, 0.2500, 0.2500], [0.0000, 0.0000, 0.0000]],
  "crystal_system": "cubic",
  "vol_a3_per_fu": 90,
  "ef_ev_per_atom": -0.34
}